1.
Below is a PBEsol-optimized structure of TlRuRh2, with properties calculated at the SCAN level.

The structure belongs to space group P4/mmm (No. 123); the cell edges are 4.641, 4.641 and 2.866 Å and the angles 90.00°, 90.00° and 90.00°. The inequivalent atoms are Tl at (0.000, 0.000, 0.000), Ru at (0.500, 0.500, 0.000) and Rh at (0.000, 0.500, 0.500).

The volume is 15.43 A^3/atom. The calculation puts the excess energy over the best structure of this formula in the dataset at 81 meV per atom. The density of states at the Fermi level is 4.03 states/eV per cell. The magnetization is 2.09 Bohr magnetons per cell. As for the energy relative to the elements: 0.413 eV/atom.



2.
Below is a PBEsol-optimized structure of KLiRu, with properties calculated at the SCAN level.

The structure belongs to space group P3m1 (No. 156); the cell edges are 2.8209, 2.8209 and 8.2797 Å and the angles 90.00°, 90.00° and 120.00°. The inequivalent atoms are K at (0.0000, 0.0000, 0.0000), Li at (0.3333, 0.6667, 0.5781) and Ru at (0.6667, 0.3333, 0.3252).

The volume is 19.02 A^3/atom. The calculation puts the excess energy over the best structure of this formula in the dataset at 46 meV per atom. The density of states at the Fermi level is 1.85 states/eV per cell. The magnetization is 0.95 Bohr magnetons per cell. As for the energy relative to the elements: 0.811 eV/atom.



3.
Below is a PBEsol-optimized structure of CsTeO2, with properties calculated at the SCAN level.

The structure belongs to space group R-3m (No. 166, hexagonal axes); the cell edges are 3.7076, 3.7076 and 21.6635 Å and the angles 90.00°, 90.00° and 120.00°. The inequivalent atoms are Cs at (0.0000, 0.0000, 0.0000), Te at (0.0000, 0.0000, 0.5000) and O at (0.0000, 0.0000, 0.1247).

The volume is 21.49 A^3/atom. The calculation puts the uncorrected formation energy at -0.67 eV/atom. The density of states at the Fermi level is 3.62 states/eV per cell. The magnetization is 0.00 Bohr magnetons per cell.



4.
Below is a PBEsol-optimized structure of CaNb3Ga, with properties calculated at the SCAN level.

The structure belongs to space group Pm-3m (No. 221); the cell edges are 4.857, 4.857 and 4.857 Å and the angles 90.00°, 90.00° and 90.00°. The inequivalent atoms are Ca at (0.000, 0.000, 0.000), Nb at (0.000, 0.500, 0.500) and Ga at (0.500, 0.500, 0.500).

The volume is 22.91 A^3/atom. The density of states at the Fermi level is 4.87 states/eV per cell. The magnetization is 0.00 Bohr magnetons per cell. As for the energy relative to the elements: 0.929 eV/atom.



5.
Below is a PBEsol-optimized structure of ZnPt2W, with properties calculated at the SCAN level.

The structure belongs to space group P4/mmm (No. 123); the cell edges are 2.758, 2.758 and 7.679 Å and the angles 90.00°, 90.00° and 90.00°. The inequivalent atoms are Zn at (0.000, 0.000, 0.000), Pt at (0.500, 0.500, 0.248) and W at (0.000, 0.000, 0.500).

The volume is 14.61 A^3/atom. The density of states at the Fermi level is 1.41 states/eV per cell. The magnetization is 0.00 Bohr magnetons per cell. As for the energy relative to the elements: -0.451 eV/atom.



6.
Below is a PBEsol-optimized structure of CdCuIr3, with properties calculated at the SCAN level.

The structure belongs to space group Pm-3m (No. 221); the cell edges are 4.445, 4.445 and 4.445 Å and the angles 90.00°, 90.00° and 90.00°. The inequivalent atoms are Cd at (0.000, 0.000, 0.000), Cu at (0.500, 0.500, 0.500) and Ir at (0.000, 0.500, 0.500).

The volume is 17.57 A^3/atom. The density of states at the Fermi level is 6.72 states/eV per cell. The magnetization is 0.00 Bohr magnetons per cell. As for the energy relative to the elements: 1.545 eV/atom.



7.
Below is a PBEsol-optimized structure of ZrTcMo2, with properties calculated at the SCAN level.

The structure belongs to space group Immm (No. 71); the cell edges are 3.167, 4.470 and 9.129 Å and the angles 90.00°, 90.00° and 90.00°. The inequivalent atoms are Zr at (0.000, 0.000, 0.000), Tc at (0.000, 0.000, 0.500) and Mo at (0.000, 0.500, 0.243).

The volume is 16.15 A^3/atom. The calculation puts the excess energy over the best structure of this formula in the dataset at 8 meV per atom. The density of states at the Fermi level is 4.66 states/eV per cell. The magnetization is 0.00 Bohr magnetons per cell. As for the energy relative to the elements: -0.138 eV/atom.



8.
Below is a PBEsol-optimized structure of BaSbTe, with properties calculated at the SCAN level.

The structure belongs to space group I4mm (No. 107); the cell edges are 4.604, 4.604 and 10.487 Å and the angles 90.00°, 90.00° and 90.00°. The inequivalent atoms are Ba at (0.000, 0.000, 0.000), Sb at (0.000, 0.000, 0.642) and Te at (0.000, 0.000, 0.375).

The volume is 37.06 A^3/atom. The calculation puts the uncorrected formation energy at -0.83 eV/atom. The density of states at the Fermi level is 4.74 states/eV per cell. The magnetization is 0.00 Bohr magnetons per cell.



> Which formula does entry 2 have?

KLiRu



> What is the magnetization in the first record?

2.09 Bohr magnetons per cell